Entry 1:
Material: Rb3Dy2PtO6
Method: DFT, PBE
State: relaxed Values from VASP.

The structure in Quantum ESPRESSO input format:
```
&SYSTEM
  ibrav = 0, nat = 12, ntyp = 4
/
ATOMIC_SPECIES
Dy 162.50 Dy.upf
Pt 195.08 Pt.upf
Rb 85.47 Rb.upf
O 16.00 O.upf
CELL_PARAMETERS angstrom
-3.947 -1.200 4.252
3.658 -4.356 -1.658
4.400 3.931 3.564
ATOMIC_POSITIONS crystal
Dy 0.336 0.664 0.000
Dy 0.664 0.336 0.000
Pt 0.000 0.000 0.000
Rb 0.500 0.500 0.500
Rb 0.835 0.165 0.500
Rb 0.165 0.835 0.500
O 0.375 0.061 0.165
O 0.625 0.939 0.835
O 0.939 0.625 0.835
O 0.299 0.299 0.797
O 0.061 0.375 0.165
O 0.701 0.701 0.203
```

Calculated values
The space-group type is C2/m (12). As for the volume: 203 Å³/cell. For the uncorrected formation energy, the calculation gives -1.978 eV per atom.

Entry 2:
Material: DySc2PtO
Method: DFT, PBE
State: relaxed Values from VASP.

The structure in Quantum ESPRESSO input format:
```
&SYSTEM
  ibrav = 0, nat = 5, ntyp = 4
/
ATOMIC_SPECIES
O 16.00 O.upf
Sc 44.96 Sc.upf
Pt 195.08 Pt.upf
Dy 162.50 Dy.upf
CELL_PARAMETERS angstrom
-0.649 -3.738 2.075
3.053 -1.874 -2.422
3.268 1.203 3.190
ATOMIC_POSITIONS crystal
O 0.000 0.000 0.000
Sc 0.500 0.000 0.000
Sc 0.000 0.500 0.000
Pt 0.500 0.500 0.500
Dy 0.000 0.000 0.500
```

Calculated values
The space-group type is P4/mmm (123). As for the volume: 88 Å³/cell. For the uncorrected formation energy, the calculation gives -1.681 eV per atom.

Entry 3:
Material: DySnPtO6
Method: DFT, PBE
State: relaxed Values from VASP.

The structure in Quantum ESPRESSO input format:
```
&SYSTEM
  ibrav = 0, nat = 18, ntyp = 4
/
ATOMIC_SPECIES
O 16.00 O.upf
Sn 118.71 Sn.upf
Pt 195.08 Pt.upf
Dy 162.50 Dy.upf
CELL_PARAMETERS angstrom
-1.630 -2.687 -4.406
-2.836 -0.364 4.595
-4.933 7.066 -2.484
ATOMIC_POSITIONS crystal
O 0.031 0.350 0.623
O 0.650 0.681 0.623
O 0.969 0.650 0.377
O 0.350 0.031 0.123
O 0.319 0.350 0.877
O 0.681 0.031 0.377
O 0.969 0.319 0.123
O 0.650 0.969 0.877
O 0.319 0.969 0.623
O 0.350 0.319 0.377
O 0.681 0.650 0.123
O 0.031 0.681 0.877
Sn 0.000 0.000 0.500
Sn 0.000 0.000 0.000
Pt 0.667 0.333 0.250
Pt 0.333 0.667 0.750
Dy 0.667 0.333 0.750
Dy 0.333 0.667 0.250
```

Calculated values
The space-group type is P-31c (163). As for the volume: 227 Å³/cell. For the uncorrected formation energy, the calculation gives -1.549 eV per atom.

Number 1: density 7.2 Mg/m³, uncorrected energy -71.63 eV/cell. Number 2: density 8.7 Mg/m³, uncorrected energy -36.67 eV/cell. Number 3: density 8.4 Mg/m³, uncorrected energy -116.67 eV/cell.